Entry one
## Cd3TeAs (PBE)

Data for Cd3TeAs after structural relaxation.

Lattice parameters (Å, degrees): 5.5801 5.5801 5.5801 90.00 90.00 90.00
Fractional coordinates of all 5 atoms:
Cd (0.0000, 0.5000, 0.0000)
Cd (0.0000, 0.0000, 0.5000)
Cd (0.5000, 0.0000, 0.0000)
Te (0.0000, 0.0000, 0.0000)
As (0.5000, 0.5000, 0.5000)

Properties
Symmetry = No. 221

Entry two
## Cd3TeAs (PBE)

Data for Cd3TeAs after structural relaxation.

Lattice parameters (Å, degrees): 5.2639 5.2639 5.2639 90.00 90.00 90.00
Fractional coordinates of all 5 atoms:
As (0.0000, 0.0000, 0.0000)
Cd (0.5000, 0.0000, 0.0000)
Cd (0.0000, 0.0000, 0.5000)
Cd (0.0000, 0.5000, 0.0000)
Te (0.5000, 0.5000, 0.5000)

Properties
Symmetry = No. 221

entry two is the most stable structure shown above.